ZrMnSb2 | PBEsol | optimized geometry

```
data_ZrMnSb2
_chemical_formula_sum 'Zr2 Mn2 Sb4'
_space_group_name_H-M_alt 'C m m m'
_space_group_IT_number 65
_space_group_name_Hall '-C 2 2'
_cell_length_a 4.3065
_cell_length_b 5.1684
_cell_length_c 7.0717
_cell_angle_alpha 90.00
_cell_angle_beta 90.00
_cell_angle_gamma 90.00
loop_
_atom_site_label
_atom_site_type_symbol
_atom_site_fract_x
_atom_site_fract_y
_atom_site_fract_z
_atom_site_occupancy
Zr1 Zr 0.0000 0.0000 0.0000 1
Mn1 Mn 0.0000 0.0000 0.5000 1
Sb1 Sb 0.0000 0.5000 0.2774 1
```

Calculated values
The volume is 157 Å³ per cell. The energy comes out at -7.071 eV per atom. Its energy relative to the elements, uncorrected is -0.317 eV/f.u. The value obtained for the mass density is 8.22 g/cm3.